No. 1
Below is a relaxed structure of VNiTe2I, with properties calculated at the GGA-PBE level.

a = 5.0322 Å, b = 5.0322 Å, c = 5.2830 Å
α = 90.00°, β = 90.00°, γ = 90.00°
Closest atoms and distances in Å follow each position.
Space group P4/mmm (No. 123)
One atom of each set of equivalent atoms:
V  0.0000  0.0000  0.0000  4 I 3.56, 8 Te 3.65
Ni  0.5000  0.5000  0.5000  4 Te 2.52, 2 I 2.64
Te  0.0000  0.5000  0.5000  2 Ni 2.52
I  0.5000  0.5000  0.0000  2 Ni 2.64

Results
E_tot: -19.759 eV per cell
DOS(E_F): 1.053 states/eV per atom
total moment: 2.79 μB per formula unit

=====

No. 2
Below is a relaxed structure of VNiTe2I, with properties calculated at the GGA-PBE level.

a = 5.1036 Å, b = 5.1036 Å, c = 5.8386 Å
α = 90.00°, β = 90.00°, γ = 90.00°
Closest atoms and distances in Å follow each position.
Space group P4/mmm (No. 123)
One atom of each set of equivalent atoms:
V  0.0000  0.0000  0.0000  4 Te 2.55
Ni  0.5000  0.5000  0.5000  4 I 3.61, 8 Te 3.88
Te  0.0000  0.5000  0.0000  2 V 2.55
I  0.0000  0.0000  0.5000  2 V 2.92

Results
E_tot: -19.183 eV per cell
DOS(E_F): 1.734 states/eV per atom
total moment: 2.41 μB per formula unit